No. 1
Here is crystalline LiMg2BeBr at its relaxed geometry from Alexandria via LeMat-Bulk. Energies are from GGA-PBEsol.

Formation energy (no corrections) (eV per atom): 0.460

Lattice parameters (Å, degrees): 4.1887 5.1792 5.1792 90.00 90.00 90.00
Fractional positions:
Be (0.5000, 0.0000, 0.0000)
Mg (0.0000, 0.0000, 0.5000)
Mg (0.0000, 0.5000, 0.0000)
Br (0.5000, 0.5000, 0.5000)
Li (0.0000, 0.0000, 0.0000)

---

No. 2
Here is crystalline InI2 at its relaxed geometry from Alexandria via LeMat-Bulk. Energies are from GGA-PBEsol.

Formation energy (no corrections) (eV per atom): -0.448

Lattice parameters (Å, degrees): 8.2943 10.7166 10.9917 90.00 90.00 90.00
Fractional positions:
In (0.2500, 0.0000, 0.6756)
In (0.2500, 0.5000, 0.8244)
In (0.7500, 0.0000, 0.3244)
In (0.7500, 0.5000, 0.1756)
In (0.6576, 0.2500, 0.7500)
In (0.8424, 0.7500, 0.7500)
In (0.3424, 0.7500, 0.2500)
In (0.1576, 0.2500, 0.2500)
I (0.5135, 0.9511, 0.8186)
I (0.5135, 0.5489, 0.6814)
I (0.9865, 0.4511, 0.6814)
I (0.9865, 0.0489, 0.8186)
I (0.4865, 0.0489, 0.1814)
I (0.4865, 0.4511, 0.3186)
I (0.0135, 0.5489, 0.3186)
I (0.0135, 0.9511, 0.1814)
I (0.3476, 0.2002, 0.5404)
I (0.3476, 0.2998, 0.9596)
I (0.1524, 0.7002, 0.9596)
I (0.1524, 0.7998, 0.5404)
I (0.6524, 0.7998, 0.4596)
I (0.6524, 0.7002, 0.0404)
I (0.8476, 0.2998, 0.0404)
I (0.8476, 0.2002, 0.4596)

---

No. 3
Here is crystalline Mg2TeAs2 at its relaxed geometry from Alexandria via LeMat-Bulk. Energies are from GGA-PBEsol.

Formation energy (no corrections) (eV per atom): -0.193

Lattice parameters (Å, degrees): 3.6029 7.7663 7.7663 90.00 90.00 90.00
Fractional positions:
As (0.0000, 0.3336, 0.8336)
As (0.0000, 0.8336, 0.6664)
As (0.0000, 0.6664, 0.1664)
As (0.0000, 0.1664, 0.3336)
Te (0.0000, 0.0000, 0.0000)
Te (0.0000, 0.5000, 0.5000)
Mg (0.5000, 0.1407, 0.6407)
Mg (0.5000, 0.6407, 0.8593)
Mg (0.5000, 0.8593, 0.3593)
Mg (0.5000, 0.3593, 0.1407)

---

No. 4
Here is crystalline ZrCrTe2 at its relaxed geometry from Alexandria via LeMat-Bulk. Energies are from GGA-PBEsol.

Formation energy (no corrections) (eV per atom): -0.217

Lattice parameters (Å, degrees): 3.5409 3.5409 6.9045 90.00 90.00 90.00
Last column: magnetic moment on the atom in μB.
Fractional positions:
Cr (0.5000, 0.5000, 0.5000)  3.77
Te (0.0000, 0.0000, 0.7559)  -0.07
Te (0.0000, 0.0000, 0.2441)  -0.07
Zr (0.5000, 0.5000, 0.0000)  0.04

---

No. 5
Here is crystalline ScCu2Ni at its relaxed geometry from Alexandria via LeMat-Bulk. Energies are from GGA-PBEsol.

ΔH_f (0 K) (eV per atom): -0.20

Lattice parameters (Å, degrees): 4.2092 4.2092 4.2092 60.00 60.00 60.00
Fractional positions:
Sc (0.2500, 0.2500, 0.2500)
Ni (0.5000, 0.5000, 0.5000)
Cu (0.0000, 0.0000, 0.0000)
Cu (0.7500, 0.7500, 0.7500)

---

No. 6
Here is crystalline ZrSiTc at its relaxed geometry from Alexandria via LeMat-Bulk. Energies are from GGA-PBEsol.

Formation energy (no corrections) (eV per atom): 0.587

Lattice parameters (Å, degrees): 4.3450 4.3450 4.3450 60.00 60.00 60.00
Fractional positions:
Si (0.0000, 0.0000, 0.0000)
Tc (0.5000, 0.5000, 0.5000)
Zr (0.2500, 0.2500, 0.2500)

---

No. 7
Here is crystalline GaSeS2Cl at its relaxed geometry from Alexandria via LeMat-Bulk. Energies are from GGA-PBEsol.

Formation energy (no corrections) (eV per atom): 0.193

Lattice parameters (Å, degrees): 4.7724 4.7724 5.0037 90.00 90.00 90.00
Fractional positions:
S (0.0000, 0.5000, 0.0000)
S (0.5000, 0.0000, 0.0000)
Ga (0.5000, 0.5000, 0.5000)
Se (0.0000, 0.0000, 0.0000)
Cl (0.0000, 0.0000, 0.5000)

---

No. 8
Here is crystalline Ba2ZrNbIn at its relaxed geometry from Alexandria via LeMat-Bulk. Energies are from GGA-PBEsol.

ΔH_f (0 K) (eV per atom): 0.95

Lattice parameters (Å, degrees): 4.8419 6.2364 6.2364 90.00 90.00 90.00
Last column: magnetic moment on the atom in μB.
Fractional positions:
Nb (0.5000, 0.0000, 0.0000)  0.68
Ba (0.0000, 0.0000, 0.5000)  0.00
Ba (0.0000, 0.5000, 0.0000)  0.00
Zr (0.0000, 0.0000, 0.0000)  -0.09
In (0.5000, 0.5000, 0.5000)  0.00

---

No. 9
Here is crystalline CdRhCl2 at its relaxed geometry from Alexandria via LeMat-Bulk. Energies are from GGA-PBEsol.

Formation energy (no corrections) (eV per atom): -0.328

Lattice parameters (Å, degrees): 3.4569 3.4569 8.0914 77.67 77.67 60.00
Last column: magnetic moment on the atom in μB.
Fractional positions:
Cl (0.9837, 0.9837, 0.0488)  -0.01
Cl (0.7757, 0.7757, 0.6729)  0.19
Rh (0.4953, 0.4953, 0.5141)  0.78
Cd (0.2453, 0.2453, 0.2642)  -0.01

---

No. 10
Here is crystalline Re2AsPtO at its relaxed geometry from Alexandria via LeMat-Bulk. Energies are from GGA-PBEsol.

Formation energy (no corrections) (eV per atom): 1.348

Lattice parameters (Å, degrees): 3.5692 4.6879 4.6879 90.00 90.00 90.00
Last column: magnetic moment on the atom in μB.
Fractional positions:
Re (0.0000, 0.0000, 0.5000)  1.00
Re (0.0000, 0.5000, 0.0000)  1.00
As (0.0000, 0.0000, 0.0000)  -0.02
O (0.5000, 0.0000, 0.0000)  0.21
Pt (0.5000, 0.5000, 0.5000)  0.20

---

No. 11
Here is crystalline SmCoSi2 at its relaxed geometry from Alexandria via LeMat-Bulk. Energies are from GGA-PBEsol.

Formation energy (no corrections) (eV per atom): -0.852

Lattice parameters (Å, degrees): 3.9904 4.0542 8.3222 75.90 90.00 90.00
Fractional positions:
Si (0.7500, 0.2503, 0.4993)
Si (0.2500, 0.7497, 0.5007)
Si (0.2500, 0.0435, 0.9131)
Si (0.7500, 0.9565, 0.0869)
Co (0.2500, 0.1807, 0.6386)
Co (0.7500, 0.8193, 0.3614)
Sm (0.7500, 0.6075, 0.7850)
Sm (0.2500, 0.3925, 0.2150)

---

No. 12
Here is crystalline GeSbTe2H at its relaxed geometry from Alexandria via LeMat-Bulk. Energies are from GGA-PBEsol.

DFT total energy (eV/atom): -3.572

Lattice parameters (Å, degrees): 3.9070 5.2313 5.2313 90.00 90.00 90.00
Fractional positions:
Sb (0.5000, 0.0000, 0.0000)
Ge (0.5000, 0.5000, 0.5000)
Te (0.0000, 0.0000, 0.5000)
Te (0.0000, 0.5000, 0.0000)
H (0.0000, 0.0000, 0.0000)

---

No. 13
Here is crystalline BeCr2Te at its relaxed geometry from Alexandria via LeMat-Bulk. Energies are from GGA-PBEsol.

Formation energy (no corrections) (eV per atom): 0.498

Lattice parameters (Å, degrees): 3.8752 3.8752 4.4989 115.51 115.51 90.00
Last column: magnetic moment on the atom in μB.
Fractional positions:
Cr (0.7500, 0.2500, 0.5000)  1.99
Cr (0.2500, 0.7500, 0.5000)  1.99
Te (0.5000, 0.5000, 0.0000)  -0.04
Be (0.0000, 0.0000, 0.0000)  -0.05

---

No. 14
Here is crystalline CsTl2ZnGa at its relaxed geometry from Alexandria via LeMat-Bulk. Energies are from GGA-PBEsol.

ΔH_f (0 K) (eV per atom): 0.39

Lattice parameters (Å, degrees): 5.4129 5.4129 6.8970 90.00 90.00 90.00
Fractional positions:
Cs (0.0000, 0.0000, 0.5000)
Tl (0.0000, 0.5000, 0.0000)
Tl (0.5000, 0.0000, 0.0000)
Zn (0.5000, 0.5000, 0.5000)
Ga (0.0000, 0.0000, 0.0000)

---

No. 15
Here is crystalline LiCoSi2 at its relaxed geometry from Alexandria via LeMat-Bulk. Energies are from GGA-PBEsol.

Formation energy (no corrections) (eV per atom): -0.027

Lattice parameters (Å, degrees): 3.9755 3.9755 3.9755 60.00 60.00 60.00
Fractional positions:
Si (0.0000, 0.0000, 0.0000)
Si (0.2500, 0.2500, 0.2500)
Co (0.5000, 0.5000, 0.5000)
Li (0.7500, 0.7500, 0.7500)

---

No. 16
Here is crystalline K5CuAs2 at its relaxed geometry from Alexandria via LeMat-Bulk. Energies are from GGA-PBEsol.

ΔH_f (0 K) (eV per atom): -0.33

Lattice parameters (Å, degrees): 5.6845 5.6845 18.6114 90.00 90.00 120.00
Fractional positions:
K (0.3333, 0.6667, 0.9504)
K (0.6667, 0.3333, 0.4504)
K (0.6667, 0.3333, 0.0496)
K (0.3333, 0.6667, 0.5496)
K (0.0000, 0.0000, 0.3540)
K (0.0000, 0.0000, 0.8540)
K (0.0000, 0.0000, 0.6460)
K (0.0000, 0.0000, 0.1460)
K (0.3333, 0.6667, 0.7500)
K (0.6667, 0.3333, 0.2500)
Cu (0.3333, 0.6667, 0.2500)
Cu (0.6667, 0.3333, 0.7500)
As (0.3333, 0.6667, 0.1265)
As (0.6667, 0.3333, 0.6265)
As (0.6667, 0.3333, 0.8735)
As (0.3333, 0.6667, 0.3735)

---

No. 17
Here is crystalline Cd2HgPb at its relaxed geometry from Alexandria via LeMat-Bulk. Energies are from GGA-PBEsol.

ΔH_f (0 K) (eV per atom): 0.06

Lattice parameters (Å, degrees): 3.2914 5.4103 5.4171 90.00 90.00 90.00
Fractional positions:
Pb (0.0000, 0.5000, 0.5000)
Hg (0.5000, 0.0000, 0.5000)
Cd (0.0000, 0.0000, 0.0000)
Cd (0.5000, 0.5000, 0.0000)

---

No. 18
Here is crystalline LiTl2 at its relaxed geometry from Alexandria via LeMat-Bulk. Energies are from GGA-PBEsol.

ΔH_f (0 K) (eV per atom): -0.12

Lattice parameters (Å, degrees): 4.5133 7.3696 7.3696 120.00 90.00 90.00
Fractional positions:
Li (0.0000, 0.6667, 0.3333)
Li (0.0000, 0.3333, 0.6667)
Li (0.5000, 0.0000, 0.0000)
Tl (0.0000, 0.7486, 0.7486)
Tl (0.0000, 0.0000, 0.2514)
Tl (0.0000, 0.2514, 0.0000)
Tl (0.5000, 0.4156, 0.4156)
Tl (0.5000, 0.0000, 0.5844)
Tl (0.5000, 0.5844, 0.0000)

---

No. 19
Here is crystalline TlCl3 at its relaxed geometry from Alexandria via LeMat-Bulk. Energies are from GGA-PBEsol.

Formation energy (no corrections) (eV per atom): -0.470

Lattice parameters (Å, degrees): 5.4893 4.8828 4.8218 105.67 90.00 124.20
Fractional positions:
Tl (0.0000, 0.0000, 0.0000)
Cl (0.5000, 0.0000, 0.5000)
Cl (0.2907, 0.5814, 0.7241)
Cl (0.7093, 0.4186, 0.2759)

---

No. 20
Here is crystalline ScCuRe3 at its relaxed geometry from Alexandria via LeMat-Bulk. Energies are from GGA-PBEsol.

ΔH_f (0 K) (eV per atom): 1.59

Lattice parameters (Å, degrees): 4.4453 4.4453 4.4453 90.00 90.00 90.00
Fractional positions:
Sc (0.5000, 0.5000, 0.5000)
Re (0.0000, 0.5000, 0.0000)
Re (0.0000, 0.0000, 0.5000)
Re (0.5000, 0.0000, 0.0000)
Cu (0.0000, 0.0000, 0.0000)

---

No. 21
Here is crystalline YAu3 at its relaxed geometry from Alexandria via LeMat-Bulk. Energies are from GGA-PBEsol.

ΔH_f (0 K) (eV per atom): -0.73

Lattice parameters (Å, degrees): 4.9619 5.0766 6.0559 90.00 90.00 90.00
Fractional positions:
Y (0.5000, 0.6555, 0.5000)
Y (0.0000, 0.3445, 0.0000)
Au (0.5000, 0.1609, 0.2432)
Au (0.5000, 0.1609, 0.7568)
Au (0.0000, 0.8391, 0.2568)
Au (0.0000, 0.8391, 0.7432)
Au (0.0000, 0.3304, 0.5000)
Au (0.5000, 0.6696, 0.0000)

---

No. 22
Here is crystalline YCdIn at its relaxed geometry from Alexandria via LeMat-Bulk. Energies are from GGA-PBEsol.

ΔH_f (0 K) (eV per atom): -0.22

Lattice parameters (Å, degrees): 3.4254 4.6124 5.4833 114.87 108.20 90.00
Fractional positions:
Cd (0.0022, 0.0022, 0.0043)
In (0.3298, 0.3298, 0.6596)
Y (0.6680, 0.6680, 0.3361)

---

No. 23
Here is crystalline CsNa2As2 at its relaxed geometry from Alexandria via LeMat-Bulk. Energies are from GGA-PBEsol.

ΔH_f (0 K) (eV per atom): -0.36

Lattice parameters (Å, degrees): 5.3312 5.3312 6.3331 114.89 114.89 90.00
Fractional positions:
Cs (0.0000, 0.0000, 0.0000)
Na (0.2500, 0.7500, 0.5000)
Na (0.7500, 0.2500, 0.5000)
As (0.3829, 0.3829, 0.7659)
As (0.6171, 0.6171, 0.2341)

---

No. 24
Here is crystalline ScIrOs2 at its relaxed geometry from Alexandria via LeMat-Bulk. Energies are from GGA-PBEsol.

ΔH_f (0 K) (eV per atom): -0.16

Lattice parameters (Å, degrees): 2.7918 4.4280 4.7991 90.00 90.00 90.00
Fractional positions:
Ir (0.5000, 0.5000, 0.3067)
Os (0.5000, 0.0000, 0.9457)
Os (0.0000, 0.5000, 0.8093)
Sc (0.0000, 0.0000, 0.4383)

---

No. 25
Here is crystalline CdSi2Os at its relaxed geometry from Alexandria via LeMat-Bulk. Energies are from GGA-PBEsol.

Formation energy (no corrections) (eV per atom): 0.262

Lattice parameters (Å, degrees): 3.2121 4.2342 4.7994 90.00 90.00 90.00
Fractional positions:
Cd (0.5000, 0.5000, 0.5000)
Os (0.0000, 0.5000, 0.0000)
Si (0.0000, 0.0000, 0.7513)
Si (0.0000, 0.0000, 0.2487)